Arrangement P

A relaxed structure of BeInTe2N. Source: Alexandria via LeMat-Bulk, functional PBE.

Crystal system = tetragonal

Geometry as CIF:
```
data_BeInTe2N
_cell_length_a 5.862
_cell_length_b 5.862
_cell_length_c 3.134
_cell_angle_alpha 90.00
_cell_angle_beta 90.00
_cell_angle_gamma 90.00
_space_group_name_H-M_alt 'P 4/m m m'
_space_group_IT_number 123
_space_group_name_Hall '-P 4 2'
loop_
_atom_site_label
_atom_site_type_symbol
_atom_site_fract_x
_atom_site_fract_y
_atom_site_fract_z
_atom_site_occupancy
Be1 Be 0.000 0.000 0.000 1
In1 In 0.500 0.500 0.500 1
Te1 Te 0.000 0.500 0.000 1
N1 N 0.000 0.000 0.500 1
```

Arrangement Q

A relaxed structure of BeInTe2N. Source: Alexandria via LeMat-Bulk, functional PBE.

Crystal system = tetragonal

Geometry as CIF:
```
data_BeInTe2N
_cell_length_a 5.637
_cell_length_b 5.637
_cell_length_c 4.030
_cell_angle_alpha 90.00
_cell_angle_beta 90.00
_cell_angle_gamma 90.00
_space_group_name_H-M_alt 'P 4/m m m'
_space_group_IT_number 123
_space_group_name_Hall '-P 4 2'
loop_
_atom_site_label
_atom_site_type_symbol
_atom_site_fract_x
_atom_site_fract_y
_atom_site_fract_z
_atom_site_occupancy
Be1 Be 0.000 0.000 0.000 1
In1 In 0.500 0.500 0.500 1
Te1 Te 0.000 0.500 0.500 1
N1 N 0.500 0.500 0.000 1
```

The energetic minimum among the shown structures is arrangement P; the next structure lies 1.120 eV/atom above.